Entry from Alexandria via LeMat-Bulk: a relaxed structure of BaSrLa2 (GGA-PBE).

a b c (Å): 4.2804 6.3959 6.6229
angles (deg): 90.00 90.00 90.00
With the nearest neighbours (Å) after each atom.
Sites, in units of the cell vectors:
Sr  0.5000  0.0000  0.5000  4 Ba 3.85, 4 La 3.94, 2 Sr 4.28
Ba  0.0000  0.5000  0.5000  4 Sr 3.85, 4 La 3.94, 2 Ba 4.28
La  0.5000  0.5000  0.0000  6 La 3.85-4.28, 4 Ba 3.94
La  0.0000  0.0000  0.0000  6 La 3.85-4.28, 4 Sr 3.94

Summary:
formation energy	0.81	eV/f.u.
symmetry	Pmmm

---

Entry from Alexandria via LeMat-Bulk: a relaxed structure of KLiZrTe3 (GGA-PBE).

a b c (Å): 4.2586 9.4502 10.3199
angles (deg): 109.08 90.00 90.00
With the nearest neighbours (Å) after each atom.
Sites, in units of the cell vectors:
K  0.7500  0.7838  0.7400  7 Te 3.59-3.77
K  0.2500  0.2162  0.2600  7 Te 3.59-3.77
Li  0.2500  0.0784  0.6021  4 Te 2.72-2.83, 2 Li 3.02
Li  0.7500  0.9216  0.3979  4 Te 2.72-2.83, 2 Li 3.02
Te  0.7500  0.2315  0.5479  3 Li 2.73-2.83, 1 Zr 2.84
Te  0.7500  0.8796  0.1241  1 Li 2.72, 2 Zr 2.94
Te  0.2500  0.7685  0.4521  3 Li 2.73-2.83, 1 Zr 2.84
Te  0.2500  0.5416  0.8528  3 Zr 2.97-3.03
Te  0.7500  0.4584  0.1472  3 Zr 2.97-3.03
Te  0.2500  0.1204  0.8759  1 Li 2.72, 2 Zr 2.94
Zr  0.7500  0.3184  0.8383  6 Te 2.84-3.03
Zr  0.2500  0.6816  0.1617  6 Te 2.84-3.03

Summary:
ΔE_f (raw)	-990	meV per atom
symmetry	P2_1/m

---

Entry from Alexandria via LeMat-Bulk: a relaxed structure of Nb2TlO6 (GGA-PBE).

a b c (Å): 5.4029 5.4029 5.1877
angles (deg): 90.00 90.00 120.00
With the nearest neighbours (Å) after each atom.
Sites, in units of the cell vectors:
O  0.6185  0.6185  0.7145  2 Nb 2.02
O  0.0000  0.6185  0.2855  2 Nb 2.02
O  0.0000  0.3815  0.7145  2 Nb 2.02
O  0.3815  0.0000  0.7145  2 Nb 2.02
O  0.6185  0.0000  0.2855  2 Nb 2.02
O  0.3815  0.3815  0.2855  2 Nb 2.02
Nb  0.3333  0.6667  0.5000  6 O 2.02
Nb  0.6667  0.3333  0.5000  6 O 2.02
Tl  0.0000  0.0000  0.0000  6 O 2.54

Summary:
ΔE_f (raw)	-2082	meV per atom
symmetry	P-31m

---

Entry from Alexandria via LeMat-Bulk: a relaxed structure of SbRuRhI2 (GGA-PBE).

a b c (Å): 5.4244 5.4244 4.9555
angles (deg): 90.00 90.00 90.00
With the nearest neighbours (Å) after each atom.
Sites, in units of the cell vectors:
I  0.0000  0.5000  0.0000  2 Ru 2.71
I  0.5000  0.0000  0.0000  2 Ru 2.71
Rh  0.5000  0.5000  0.5000  8 I 3.67, 4 Sb 3.84
Ru  0.0000  0.0000  0.0000  2 Sb 2.48, 4 I 2.71
Sb  0.0000  0.0000  0.5000  2 Ru 2.48

Summary:
ΔE_f (raw)	1007	meV per atom
symmetry	P4/mmm

---

Entry from Alexandria via LeMat-Bulk: a relaxed structure of RbOsC2N (GGA-PBE).

a b c (Å): 4.1020 4.1020 4.0256
angles (deg): 90.00 90.00 90.00
With the nearest neighbours (Å) after each atom.
Sites, in units of the cell vectors:
N  0.0000  0.0000  0.5000  2 Os 2.01
Rb  0.5000  0.5000  0.5000  8 C 2.87, 4 N 2.90
C  0.0000  0.5000  0.0000  2 Os 2.05
C  0.5000  0.0000  0.0000  2 Os 2.05
Os  0.0000  0.0000  0.0000  2 N 2.01, 4 C 2.05

Summary:
ΔE_f (raw)	1421	meV per atom
symmetry	P4/mmm

---

Entry from Alexandria via LeMat-Bulk: a relaxed structure of CsBaCd2Br (GGA-PBE).

a b c (Å): 6.8918 6.2444 6.8918
angles (deg): 90.00 90.00 90.00
With the nearest neighbours (Å) after each atom.
Sites, in units of the cell vectors:
Cs  0.5000  0.5000  0.5000  8 Cd 4.65, 4 Br 4.87
Br  0.0000  0.5000  0.0000  2 Ba 3.12
Cd  0.0000  0.0000  0.5000  2 Ba 3.45
Cd  0.5000  0.0000  0.0000  2 Ba 3.45
Ba  0.0000  0.0000  0.0000  2 Br 3.12, 4 Cd 3.45

Summary:
ΔE_f (raw)	-451	meV per atom
symmetry	P4/mmm

---

Listing total DFT energy (no corrections) for the structures above in their given order: -12.7, -26.9, -71.0, -18.8, -31.9, -8.5 eV/f.u..
Listing total moment for the structures above in their given order: 0.1, 0.0, 0.0, 1.5, 1.2, 0.0 μB per cell.